Arrangement i

YAgBr4: optimized geometry, GGA-PBE.

a = 6.2092 Å, b = 6.2092 Å, c = 6.2092 Å
α = 60.00°, β = 60.00°, γ = 60.00°
With the nearest neighbours (Å) after each atom.
Sites, in units of the cell vectors:
Y (0.0000, 0.0000, 0.0000)  12 Br 3.64, 4 Ag 3.80
Ag (0.7500, 0.7500, 0.7500)  12 Br 3.64, 4 Y 3.80
Br (0.3754, 0.3754, 0.3754)  6 Br 3.10-3.11
Br (0.3754, 0.3754, 0.8739)  6 Br 3.10-3.11
Br (0.3754, 0.8739, 0.3754)  6 Br 3.10-3.11
Br (0.8739, 0.3754, 0.3754)  6 Br 3.10-3.11

Output
M_tot in μB per formula unit: 1.089
Space-group type: F-43m, No. 216

***

Arrangement ii

YAgBr4: optimized geometry, GGA-PBE.

a = 8.0836 Å, b = 8.0836 Å, c = 7.3843 Å
α = 115.75°, β = 115.75°, γ = 29.74°
With the nearest neighbours (Å) after each atom.
Sites, in units of the cell vectors:
Y (0.0000, 0.0000, 0.0000)  6 Br 2.79-2.85
Ag (0.5000, 0.5000, 0.5000)  4 Br 2.83
Br (0.1027, 0.1027, 0.4224)  1 Y 2.79, 2 Ag 2.83
Br (0.3782, 0.3782, 0.0143)  2 Y 2.85
Br (0.6218, 0.6218, 0.9857)  2 Y 2.85
Br (0.8973, 0.8973, 0.5776)  1 Y 2.79, 2 Ag 2.83

Output
M_tot in μB per formula unit: 0.000
Space-group type: C2/m, No. 12

***

Here is how they stack up, most stable first: arrangement ii, arrangement i.

***

Arrangement i

YAgBr3: optimized geometry, GGA-PBE.

a = 5.5949 Å, b = 5.5949 Å, c = 5.5949 Å
α = 90.00°, β = 90.00°, γ = 90.00°
With the nearest neighbours (Å) after each atom.
Sites, in units of the cell vectors:
Y (0.0000, 0.0000, 0.0000)  6 Br 2.80
Ag (0.5000, 0.5000, 0.5000)  12 Br 3.96
Br (0.0000, 0.0000, 0.5000)  2 Y 2.80
Br (0.0000, 0.5000, 0.0000)  2 Y 2.80
Br (0.5000, 0.0000, 0.0000)  2 Y 2.80

Output
M_tot in μB per formula unit: 0.817
Space-group type: Pm-3m, No. 221

***

Arrangement ii

YAgBr3: optimized geometry, GGA-PBE.

a = 5.3572 Å, b = 5.3572 Å, c = 5.3572 Å
α = 90.00°, β = 90.00°, γ = 90.00°
With the nearest neighbours (Å) after each atom.
Sites, in units of the cell vectors:
Y (0.0000, 0.0000, 0.0000)  12 Br 3.79
Ag (0.5000, 0.5000, 0.5000)  6 Br 2.68
Br (0.0000, 0.5000, 0.5000)  2 Ag 2.68
Br (0.5000, 0.0000, 0.5000)  2 Ag 2.68
Br (0.5000, 0.5000, 0.0000)  2 Ag 2.68

Output
M_tot in μB per formula unit: 0.951
Space-group type: Pm-3m, No. 221

***

Here is how they stack up, most stable first: arrangement i, arrangement ii.

***

Arrangement i

ZnAgBr: optimized geometry, GGA-PBE.

a = 11.4997 Å, b = 3.7454 Å, c = 3.7454 Å
α = 56.83°, β = 90.00°, γ = 90.00°
With the nearest neighbours (Å) after each atom.
Sites, in units of the cell vectors:
Zn (0.1488, 0.0000, 0.0000)  3 Ag 2.72-2.74, 2 Br 2.78
Zn (0.8512, 0.0000, 0.0000)  3 Ag 2.72-2.74, 2 Br 2.78
Ag (0.0000, 0.6796, 0.6796)  6 Zn 2.72-2.74
Ag (0.5000, 0.7547, 0.7547)  6 Br 2.83-2.91
Br (0.3314, 0.4419, 0.4419)  2 Zn 2.78, 3 Ag 2.83-2.91
Br (0.6686, 0.4419, 0.4419)  2 Zn 2.78, 3 Ag 2.83-2.91

Output
M_tot in μB per formula unit: 0.000
Space-group type: Amm2, No. 38

***

Arrangement ii

ZnAgBr: optimized geometry, GGA-PBE.

a = 6.2392 Å, b = 6.2392 Å, c = 6.2392 Å
α = 148.91°, β = 148.91°, γ = 44.54°
With the nearest neighbours (Å) after each atom.
Sites, in units of the cell vectors:
Zn (0.0000, 0.0000, 0.0000)  4 Ag 2.80, 4 Br 2.94
Ag (0.6295, 0.6295, 0.0000)  4 Zn 2.80
Br (0.3493, 0.3493, 0.0000)  4 Zn 2.94, 1 Ag 3.24

Output
M_tot in μB per formula unit: 0.000
Space-group type: I4mm, No. 107

***

Here is how they stack up, most stable first: arrangement i, arrangement ii.

***

Arrangement i

ZnAgBr: optimized geometry, GGA-PBE.

a = 4.6903 Å, b = 4.6903 Å, c = 4.6903 Å
α = 60.00°, β = 60.00°, γ = 60.00°
With the nearest neighbours (Å) after each atom.
Sites, in units of the cell vectors:
Zn (0.0000, 0.0000, 0.0000)  4 Br 2.87, 4 Ag 2.87
Ag (0.7500, 0.7500, 0.7500)  4 Zn 2.87
Br (0.2500, 0.2500, 0.2500)  4 Zn 2.87

Output
M_tot in μB per formula unit: 0.000
Space-group type: F-43m, No. 216

***

Arrangement ii

ZnAgBr: optimized geometry, GGA-PBE.

a = 4.7845 Å, b = 4.7845 Å, c = 4.7845 Å
α = 60.00°, β = 60.00°, γ = 60.00°
With the nearest neighbours (Å) after each atom.
Sites, in units of the cell vectors:
Zn (0.0000, 0.0000, 0.0000)  4 Ag 2.93
Ag (0.7500, 0.7500, 0.7500)  4 Br 2.93, 4 Zn 2.93
Br (0.5000, 0.5000, 0.5000)  4 Ag 2.93

Output
M_tot in μB per formula unit: 0.000
Space-group type: F-43m, No. 216

***

Here is how they stack up, most stable first: arrangement ii, arrangement i.